Model P:
LaBePt: relaxed, PBE-GGA.

```
data_LaBePt
_symmetry_space_group_name_H-M 'F -4 3 m'
_symmetry_Int_Tables_number 216
_symmetry_space_group_name_Hall 'F -4 2 3'
_cell_length_a 6.762
_cell_length_b 6.762
_cell_length_c 6.762
_cell_angle_alpha 90.00
_cell_angle_beta 90.00
_cell_angle_gamma 90.00
loop_
_atom_site_label
_atom_site_fract_x
_atom_site_fract_y
_atom_site_fract_z
La1 0.000 0.000 0.000
Be1 0.250 0.250 0.250
Pt1 0.250 0.250 0.750
```

Calculated values
- Spin magnetization: 0.00 μB per formula unit

Model Q:
LaBePt: relaxed, PBE-GGA.

```
data_LaBePt
_symmetry_space_group_name_H-M 'F -4 3 m'
_symmetry_Int_Tables_number 216
_symmetry_space_group_name_Hall 'F -4 2 3'
_cell_length_a 6.588
_cell_length_b 6.588
_cell_length_c 6.588
_cell_angle_alpha 90.00
_cell_angle_beta 90.00
_cell_angle_gamma 90.00
loop_
_atom_site_label
_atom_site_fract_x
_atom_site_fract_y
_atom_site_fract_z
La1 0.000 0.000 0.000
Be1 0.000 0.000 0.500
Pt1 0.250 0.250 0.750
```

Calculated values
- Spin magnetization: 0.00 μB per formula unit

Most stable to least stable, the ends of the list are model Q and model P.

Model P:
LaScBePt: relaxed, PBE-GGA.

```
data_LaScBePt
_symmetry_space_group_name_H-M 'F -4 3 m'
_symmetry_Int_Tables_number 216
_symmetry_space_group_name_Hall 'F -4 2 3'
_cell_length_a 6.656
_cell_length_b 6.656
_cell_length_c 6.656
_cell_angle_alpha 90.00
_cell_angle_beta 90.00
_cell_angle_gamma 90.00
loop_
_atom_site_label
_atom_site_fract_x
_atom_site_fract_y
_atom_site_fract_z
La1 0.000 0.000 0.000
Sc1 0.250 0.250 0.750
Be1 0.250 0.250 0.250
Pt1 0.000 0.000 0.500
```

Calculated values
- Spin magnetization: 0.00 μB per formula unit

Model Q:
LaScBePt: relaxed, PBE-GGA.

```
data_LaScBePt
_symmetry_space_group_name_H-M 'F -4 3 m'
_symmetry_Int_Tables_number 216
_symmetry_space_group_name_Hall 'F -4 2 3'
_cell_length_a 6.952
_cell_length_b 6.952
_cell_length_c 6.952
_cell_angle_alpha 90.00
_cell_angle_beta 90.00
_cell_angle_gamma 90.00
loop_
_atom_site_label
_atom_site_fract_x
_atom_site_fract_y
_atom_site_fract_z
La1 0.000 0.000 0.000
Sc1 0.000 0.000 0.500
Be1 0.250 0.250 0.750
Pt1 0.250 0.250 0.250
```

Calculated values
- Spin magnetization: 0.00 μB per formula unit

Most stable to least stable, the ends of the list are model Q and model P.

Model P:
LaBeTlPt: relaxed, PBE-GGA.

```
data_LaBeTlPt
_symmetry_space_group_name_H-M 'F -4 3 m'
_symmetry_Int_Tables_number 216
_symmetry_space_group_name_Hall 'F -4 2 3'
_cell_length_a 7.033
_cell_length_b 7.033
_cell_length_c 7.033
_cell_angle_alpha 90.00
_cell_angle_beta 90.00
_cell_angle_gamma 90.00
loop_
_atom_site_label
_atom_site_fract_x
_atom_site_fract_y
_atom_site_fract_z
La1 0.000 0.000 0.000
Be1 0.000 0.000 0.500
Tl1 0.250 0.250 0.250
Pt1 0.250 0.250 0.750
```

Calculated values
- Spin magnetization: 0.00 μB per formula unit

Model Q:
LaBeTlPt: relaxed, PBE-GGA.

```
data_LaBeTlPt
_symmetry_space_group_name_H-M 'F -4 3 m'
_symmetry_Int_Tables_number 216
_symmetry_space_group_name_Hall 'F -4 2 3'
_cell_length_a 6.959
_cell_length_b 6.959
_cell_length_c 6.959
_cell_angle_alpha 90.00
_cell_angle_beta 90.00
_cell_angle_gamma 90.00
loop_
_atom_site_label
_atom_site_fract_x
_atom_site_fract_y
_atom_site_fract_z
La1 0.000 0.000 0.000
Be1 0.250 0.250 0.750
Tl1 0.000 0.000 0.500
Pt1 0.250 0.250 0.250
```

Calculated values
- Spin magnetization: 0.00 μB per formula unit

Most stable to least stable, the ends of the list are model Q and model P.

Model P:
LaYBePt: relaxed, PBE-GGA.

```
data_LaYBePt
_symmetry_space_group_name_H-M 'F -4 3 m'
_symmetry_Int_Tables_number 216
_symmetry_space_group_name_Hall 'F -4 2 3'
_cell_length_a 7.134
_cell_length_b 7.134
_cell_length_c 7.134
_cell_angle_alpha 90.00
_cell_angle_beta 90.00
_cell_angle_gamma 90.00
loop_
_atom_site_label
_atom_site_fract_x
_atom_site_fract_y
_atom_site_fract_z
La1 0.000 0.000 0.000
Y1 0.000 0.000 0.500
Be1 0.250 0.250 0.750
Pt1 0.250 0.250 0.250
```

Calculated values
- Spin magnetization: 0.00 μB per formula unit

Model Q:
LaYBePt: relaxed, PBE-GGA.

```
data_LaYBePt
_symmetry_space_group_name_H-M 'F -4 3 m'
_symmetry_Int_Tables_number 216
_symmetry_space_group_name_Hall 'F -4 2 3'
_cell_length_a 6.858
_cell_length_b 6.858
_cell_length_c 6.858
_cell_angle_alpha 90.00
_cell_angle_beta 90.00
_cell_angle_gamma 90.00
loop_
_atom_site_label
_atom_site_fract_x
_atom_site_fract_y
_atom_site_fract_z
La1 0.000 0.000 0.000
Y1 0.250 0.250 0.250
Be1 0.000 0.000 0.500
Pt1 0.250 0.250 0.750
```

Calculated values
- Spin magnetization: 0.00 μB per formula unit

Most stable to least stable, the ends of the list are model P and model Q.

Model P:
LaBeRe: relaxed, PBE-GGA.

```
data_LaBeRe
_symmetry_space_group_name_H-M 'F -4 3 m'
_symmetry_Int_Tables_number 216
_symmetry_space_group_name_Hall 'F -4 2 3'
_cell_length_a 6.408
_cell_length_b 6.408
_cell_length_c 6.408
_cell_angle_alpha 90.00
_cell_angle_beta 90.00
_cell_angle_gamma 90.00
loop_
_atom_site_label
_atom_site_fract_x
_atom_site_fract_y
_atom_site_fract_z
La1 0.000 0.000 0.000
Be1 0.250 0.250 0.750
Re1 0.250 0.250 0.250
```

Calculated values
- Spin magnetization: 0.03 μB per formula unit

Model Q:
LaBeRe: relaxed, PBE-GGA.

```
data_LaBeRe
_symmetry_space_group_name_H-M 'F -4 3 m'
_symmetry_Int_Tables_number 216
_symmetry_space_group_name_Hall 'F -4 2 3'
_cell_length_a 6.222
_cell_length_b 6.222
_cell_length_c 6.222
_cell_angle_alpha 90.00
_cell_angle_beta 90.00
_cell_angle_gamma 90.00
loop_
_atom_site_label
_atom_site_fract_x
_atom_site_fract_y
_atom_site_fract_z
La1 0.000 0.000 0.000
Be1 0.000 0.000 0.500
Re1 0.250 0.250 0.750
```

Calculated values
- Spin magnetization: 0.00 μB per formula unit

Most stable to least stable, the ends of the list are model Q and model P.

Model P:
LaBeTcTe: relaxed, PBE-GGA.

```
data_LaBeTcTe
_symmetry_space_group_name_H-M 'F -4 3 m'
_symmetry_Int_Tables_number 216
_symmetry_space_group_name_Hall 'F -4 2 3'
_cell_length_a 6.843
_cell_length_b 6.843
_cell_length_c 6.843
_cell_angle_alpha 90.00
_cell_angle_beta 90.00
_cell_angle_gamma 90.00
loop_
_atom_site_label
_atom_site_fract_x
_atom_site_fract_y
_atom_site_fract_z
La1 0.000 0.000 0.000
Be1 0.250 0.250 0.750
Tc1 0.000 0.000 0.500
Te1 0.250 0.250 0.250
```

Calculated values
- Spin magnetization: 0.00 μB per formula unit

Model Q:
LaBeTcTe: relaxed, PBE-GGA.

```
data_LaBeTcTe
_symmetry_space_group_name_H-M 'F -4 3 m'
_symmetry_Int_Tables_number 216
_symmetry_space_group_name_Hall 'F -4 2 3'
_cell_length_a 6.949
_cell_length_b 6.949
_cell_length_c 6.949
_cell_angle_alpha 90.00
_cell_angle_beta 90.00
_cell_angle_gamma 90.00
loop_
_atom_site_label
_atom_site_fract_x
_atom_site_fract_y
_atom_site_fract_z
La1 0.000 0.000 0.000
Be1 0.000 0.000 0.500
Tc1 0.250 0.250 0.250
Te1 0.250 0.250 0.750
```

Calculated values
- Spin magnetization: 0.23 μB per formula unit

Most stable to least stable, the ends of the list are model P and model Q.

Model P:
LaBeW: relaxed, PBE-GGA.

```
data_LaBeW
_symmetry_space_group_name_H-M 'F -4 3 m'
_symmetry_Int_Tables_number 216
_symmetry_space_group_name_Hall 'F -4 2 3'
_cell_length_a 6.298
_cell_length_b 6.298
_cell_length_c 6.298
_cell_angle_alpha 90.00
_cell_angle_beta 90.00
_cell_angle_gamma 90.00
loop_
_atom_site_label
_atom_site_fract_x
_atom_site_fract_y
_atom_site_fract_z
La1 0.000 0.000 0.000
Be1 0.000 0.000 0.500
W1 0.250 0.250 0.750
```

Calculated values
- Spin magnetization: 0.24 μB per formula unit

Model Q:
LaBeW: relaxed, PBE-GGA.

```
data_LaBeW
_symmetry_space_group_name_H-M 'F -4 3 m'
_symmetry_Int_Tables_number 216
_symmetry_space_group_name_Hall 'F -4 2 3'
_cell_length_a 6.664
_cell_length_b 6.664
_cell_length_c 6.664
_cell_angle_alpha 90.00
_cell_angle_beta 90.00
_cell_angle_gamma 90.00
loop_
_atom_site_label
_atom_site_fract_x
_atom_site_fract_y
_atom_site_fract_z
La1 0.000 0.000 0.000
Be1 0.250 0.250 0.750
W1 0.250 0.250 0.250
```

Calculated values
- Spin magnetization: 2.91 μB per formula unit

Most stable to least stable, the ends of the list are model P and model Q.

Model P:
LaBeZn: relaxed, PBE-GGA.

```
data_LaBeZn
_symmetry_space_group_name_H-M 'F -4 3 m'
_symmetry_Int_Tables_number 216
_symmetry_space_group_name_Hall 'F -4 2 3'
_cell_length_a 6.432
_cell_length_b 6.432
_cell_length_c 6.432
_cell_angle_alpha 90.00
_cell_angle_beta 90.00
_cell_angle_gamma 90.00
loop_
_atom_site_label
_atom_site_fract_x
_atom_site_fract_y
_atom_site_fract_z
La1 0.000 0.000 0.000
Be1 0.250 0.250 0.250
Zn1 0.000 0.000 0.500
```

Calculated values
- Spin magnetization: 0.05 μB per formula unit

Model Q:
LaBeZn: relaxed, PBE-GGA.

```
data_LaBeZn
_symmetry_space_group_name_H-M 'F -4 3 m'
_symmetry_Int_Tables_number 216
_symmetry_space_group_name_Hall 'F -4 2 3'
_cell_length_a 6.793
_cell_length_b 6.793
_cell_length_c 6.793
_cell_angle_alpha 90.00
_cell_angle_beta 90.00
_cell_angle_gamma 90.00
loop_
_atom_site_label
_atom_site_fract_x
_atom_site_fract_y
_atom_site_fract_z
La1 0.000 0.000 0.000
Be1 0.250 0.250 0.750
Zn1 0.250 0.250 0.250
```

Calculated values
- Spin magnetization: 0.00 μB per formula unit

Most stable to least stable, the ends of the list are model P and model Q.